Record 1
# CeGd2Y | Alexandria | PBE-GGA | optimized geometry
data_CeGd2Y
_chemical_formula_sum 'Ce1 Gd2 Y1'
_cell_length_a 3.544
_cell_length_b 3.544
_cell_length_c 10.032
_cell_angle_alpha 90.00
_cell_angle_beta 90.00
_cell_angle_gamma 90.00
_symmetry_space_group_name_H-M 'P 1'
_symmetry_Int_Tables_number 1
loop_
_symmetry_equiv_pos_as_xyz
'x,y,z'
loop_
_atom_site_label
_atom_site_type_symbol
_atom_site_fract_x
_atom_site_fract_y
_atom_site_fract_z
Gd1 Gd 0.000 0.000 0.759
Gd2 Gd 0.000 0.000 0.241
Ce1 Ce 0.500 0.500 0.000
Y1 Y 0.500 0.500 0.500
# ρ in g/cm³: 7.2
# ΔE to the lowest computed polymorph in meV/atom: 0

Record 2
# Pu4Pt2Rh3 | Alexandria | PBE-GGA | optimized geometry
data_Pu4Pt2Rh3
_chemical_formula_sum 'Pu4 Pt2 Rh3'
_cell_length_a 4.657
_cell_length_b 5.197
_cell_length_c 8.543
_cell_angle_alpha 77.57
_cell_angle_beta 89.99
_cell_angle_gamma 63.39
_symmetry_space_group_name_H-M 'P 1'
_symmetry_Int_Tables_number 1
loop_
_symmetry_equiv_pos_as_xyz
'x,y,z'
loop_
_atom_site_label
_atom_site_type_symbol
_atom_site_fract_x
_atom_site_fract_y
_atom_site_fract_z
Pu1 Pu 0.361 0.278 0.110
Pu2 Pu 0.062 0.875 0.344
Pu3 Pu 0.938 0.125 0.656
Pu4 Pu 0.639 0.722 0.890
Pt1 Pt 0.726 0.547 0.243
Pt2 Pt 0.274 0.453 0.757
Rh1 Rh 0.000 0.000 0.000
Rh2 Rh 0.350 0.300 0.450
Rh3 Rh 0.650 0.700 0.550
# ρ in g/cm³: 15.5
# Final energy in eV per atom: -10.67

| no. | volume (Å³ per cell) |
| --- | --- |
| 1 | 126.0 |
| 2 | 179.4 |